Record 1
An optimized crystal structure of Tb3YTe6, computed with PBE-GGA.

Geometry as CIF:
```
data_Tb3YTe6
_chemical_formula_sum 'Tb6 Y2 Te12'
_cell_length_a 12.504
_cell_length_b 4.363
_cell_length_c 12.840
_cell_angle_alpha 90.00
_cell_angle_beta 109.35
_cell_angle_gamma 90.00
_space_group_name_H-M_alt 'P 1'
_space_group_IT_number 1
_space_group_name_Hall 'P 1'
loop_
_atom_site_label
_atom_site_type_symbol
_atom_site_fract_x
_atom_site_fract_y
_atom_site_fract_z
Tb1 Tb 0.070 0.250 0.167
Tb2 Tb 0.183 0.750 0.502
Tb3 Tb 0.344 0.250 0.921
Tb4 Tb 0.656 0.750 0.079
Tb5 Tb 0.817 0.250 0.498
Tb6 Tb 0.930 0.750 0.833
Y1 Y 0.457 0.250 0.307
Y2 Y 0.543 0.750 0.693
Te1 Te 0.016 0.250 0.382
Te2 Te 0.106 0.250 0.937
Te3 Te 0.250 0.750 0.281
Te4 Te 0.309 0.750 0.750
Te5 Te 0.390 0.250 0.533
Te6 Te 0.416 0.750 0.102
Te7 Te 0.584 0.250 0.898
Te8 Te 0.610 0.750 0.467
Te9 Te 0.691 0.250 0.250
Te10 Te 0.750 0.250 0.719
Te11 Te 0.894 0.750 0.063
Te12 Te 0.984 0.750 0.618
```

V, Å³ per cell: 661
Space-group type: P2_1/m (11)
Polymorph energy (0 for the lowest one), eV/atom: 0.0000
ΔE_f (raw), meV per atom: -1381

***

Record 2
An optimized crystal structure of Tb3YTe4, computed with PBE-GGA.

Geometry as CIF:
```
data_Tb3YTe4
_chemical_formula_sum 'Tb3 Y1 Te4'
_cell_length_a 14.442
_cell_length_b 14.442
_cell_length_c 14.442
_cell_angle_alpha 17.45
_cell_angle_beta 17.45
_cell_angle_gamma 17.45
_space_group_name_H-M_alt 'P 1'
_space_group_IT_number 1
_space_group_name_Hall 'P 1'
loop_
_atom_site_label
_atom_site_type_symbol
_atom_site_fract_x
_atom_site_fract_y
_atom_site_fract_z
Tb1 Tb 0.000 0.000 0.000
Tb2 Tb 0.250 0.250 0.250
Tb3 Tb 0.750 0.750 0.750
Y1 Y 0.500 0.500 0.500
Te1 Te 0.125 0.125 0.125
Te2 Te 0.375 0.375 0.375
Te3 Te 0.625 0.625 0.625
Te4 Te 0.875 0.875 0.875
```

V, Å³ per cell: 236
Space-group type: R-3m (166)
ΔE_f (raw), meV per atom: -1309

***

Record 3
An optimized crystal structure of TbY3Te4, computed with PBE-GGA.

Geometry as CIF:
```
data_TbY3Te4
_chemical_formula_sum 'Tb2 Y6 Te8'
_cell_length_a 7.585
_cell_length_b 8.677
_cell_length_c 7.585
_cell_angle_alpha 90.00
_cell_angle_beta 109.34
_cell_angle_gamma 90.00
_space_group_name_H-M_alt 'P 1'
_space_group_IT_number 1
_space_group_name_Hall 'P 1'
loop_
_atom_site_label
_atom_site_type_symbol
_atom_site_fract_x
_atom_site_fract_y
_atom_site_fract_z
Tb1 Tb 0.000 0.125 0.250
Tb2 Tb 0.000 0.875 0.750
Y1 Y 0.000 0.374 0.750
Y2 Y 0.000 0.626 0.250
Y3 Y 0.500 0.125 0.750
Y4 Y 0.500 0.374 0.250
Y5 Y 0.500 0.626 0.750
Y6 Y 0.500 0.875 0.250
Te1 Te 0.250 0.376 0.500
Te2 Te 0.250 0.624 0.000
Te3 Te 0.251 0.125 0.000
Te4 Te 0.251 0.875 0.500
Te5 Te 0.749 0.125 0.500
Te6 Te 0.749 0.875 0.000
Te7 Te 0.750 0.376 0.000
Te8 Te 0.750 0.624 0.500
```

V, Å³ per cell: 471
Space-group type: P2/c (13)
Polymorph energy (0 for the lowest one), eV/atom: 0.0000
ΔE_f (raw), meV per atom: -1312

***

Record 4
An optimized crystal structure of TbY5Te6, computed with PBE-GGA.

Geometry as CIF:
```
data_TbY5Te6
_chemical_formula_sum 'Tb1 Y5 Te6'
_cell_length_a 7.579
_cell_length_b 7.579
_cell_length_c 7.553
_cell_angle_alpha 99.63
_cell_angle_beta 99.63
_cell_angle_gamma 120.20
_space_group_name_H-M_alt 'P 1'
_space_group_IT_number 1
_space_group_name_Hall 'P 1'
loop_
_atom_site_label
_atom_site_type_symbol
_atom_site_fract_x
_atom_site_fract_y
_atom_site_fract_z
Tb1 Tb 0.000 0.000 0.000
Y1 Y 0.166 0.834 0.500
Y2 Y 0.333 0.667 0.000
Y3 Y 0.500 0.500 0.500
Y4 Y 0.667 0.333 0.000
Y5 Y 0.834 0.166 0.500
Te1 Te 0.083 0.418 0.251
Te2 Te 0.251 0.251 0.750
Te3 Te 0.418 0.083 0.251
Te4 Te 0.582 0.917 0.749
Te5 Te 0.749 0.749 0.250
Te6 Te 0.917 0.582 0.749
```

V, Å³ per cell: 353
Space-group type: C2/m (12)
ΔE_f (raw), meV per atom: -1311

***

Record 5
An optimized crystal structure of Tb3ZnTe6, computed with PBE-GGA.

Geometry as CIF:
```
data_Tb3ZnTe6
_chemical_formula_sum 'Tb6 Zn2 Te12'
_cell_length_a 9.661
_cell_length_b 9.661
_cell_length_c 7.158
_cell_angle_alpha 90.00
_cell_angle_beta 90.00
_cell_angle_gamma 101.82
_space_group_name_H-M_alt 'P 1'
_space_group_IT_number 1
_space_group_name_Hall 'P 1'
loop_
_atom_site_label
_atom_site_type_symbol
_atom_site_fract_x
_atom_site_fract_y
_atom_site_fract_z
Tb1 Tb 0.109 0.891 0.500
Tb2 Tb 0.226 0.427 0.405
Tb3 Tb 0.427 0.226 0.905
Tb4 Tb 0.573 0.774 0.405
Tb5 Tb 0.774 0.573 0.905
Tb6 Tb 0.891 0.109 0.000
Zn1 Zn 0.293 0.707 0.858
Zn2 Zn 0.707 0.293 0.358
Te1 Te 0.056 0.590 0.679
Te2 Te 0.135 0.189 0.703
Te3 Te 0.189 0.135 0.203
Te4 Te 0.274 0.726 0.224
Te5 Te 0.410 0.944 0.679
Te6 Te 0.460 0.540 0.718
Te7 Te 0.540 0.460 0.218
Te8 Te 0.590 0.056 0.179
Te9 Te 0.726 0.274 0.724
Te10 Te 0.811 0.865 0.703
Te11 Te 0.865 0.811 0.203
Te12 Te 0.944 0.410 0.179
```

V, Å³ per cell: 654
Space-group type: Cmc2_1 (36)
ΔE_f (raw), meV per atom: -1067

***

Record 6
An optimized crystal structure of Tb3Zn5Te12, computed with PBE-GGA.

Geometry as CIF:
```
data_Tb3Zn5Te12
_chemical_formula_sum 'Tb12 Zn20 Te48'
_cell_length_a 14.754
_cell_length_b 14.754
_cell_length_c 14.754
_cell_angle_alpha 109.47
_cell_angle_beta 109.47
_cell_angle_gamma 109.47
_space_group_name_H-M_alt 'P 1'
_space_group_IT_number 1
_space_group_name_Hall 'P 1'
loop_
_atom_site_label
_atom_site_type_symbol
_atom_site_fract_x
_atom_site_fract_y
_atom_site_fract_z
Tb1 Tb 0.125 0.250 0.375
Tb2 Tb 0.125 0.375 0.750
Tb3 Tb 0.250 0.375 0.125
Tb4 Tb 0.250 0.875 0.625
Tb5 Tb 0.375 0.125 0.250
Tb6 Tb 0.375 0.750 0.125
Tb7 Tb 0.625 0.250 0.875
Tb8 Tb 0.625 0.875 0.750
Tb9 Tb 0.750 0.125 0.375
Tb10 Tb 0.750 0.625 0.875
Tb11 Tb 0.875 0.625 0.250
Tb12 Tb 0.875 0.750 0.625
Zn1 Zn 0.000 0.000 0.000
Zn2 Zn 0.000 0.000 0.500
Zn3 Zn 0.000 0.500 0.000
Zn4 Zn 0.000 0.500 0.500
Zn5 Zn 0.125 0.750 0.875
Zn6 Zn 0.125 0.875 0.250
Zn7 Zn 0.250 0.125 0.875
Zn8 Zn 0.250 0.625 0.375
Zn9 Zn 0.375 0.250 0.625
Zn10 Zn 0.375 0.625 0.750
Zn11 Zn 0.500 0.000 0.000
Zn12 Zn 0.500 0.000 0.500
Zn13 Zn 0.500 0.500 0.000
Zn14 Zn 0.500 0.500 0.500
Zn15 Zn 0.625 0.375 0.250
Zn16 Zn 0.625 0.750 0.375
Zn17 Zn 0.750 0.375 0.625
Zn18 Zn 0.750 0.875 0.125
Zn19 Zn 0.875 0.125 0.750
Zn20 Zn 0.875 0.250 0.125
Te1 Te 0.040 0.217 0.126
Te2 Te 0.040 0.323 0.914
Te3 Te 0.086 0.626 0.409
Te4 Te 0.086 0.960 0.677
Te5 Te 0.091 0.717 0.677
Te6 Te 0.091 0.874 0.414
Te7 Te 0.126 0.040 0.217
Te8 Te 0.126 0.586 0.909
Te9 Te 0.177 0.217 0.591
Te10 Te 0.177 0.460 0.586
Te11 Te 0.217 0.126 0.040
Te12 Te 0.217 0.591 0.177
Te13 Te 0.283 0.323 0.909
Te14 Te 0.283 0.460 0.374
Te15 Te 0.323 0.909 0.283
Te16 Te 0.323 0.914 0.040
Te17 Te 0.374 0.283 0.460
Te18 Te 0.374 0.591 0.914
Te19 Te 0.409 0.086 0.626
Te20 Te 0.409 0.823 0.783
Te21 Te 0.414 0.091 0.874
Te22 Te 0.414 0.823 0.540
Te23 Te 0.460 0.374 0.283
Te24 Te 0.460 0.586 0.177
Te25 Te 0.540 0.414 0.823
Te26 Te 0.540 0.626 0.717
Te27 Te 0.586 0.177 0.460
Te28 Te 0.586 0.909 0.126
Te29 Te 0.591 0.177 0.217
Te30 Te 0.591 0.914 0.374
Te31 Te 0.626 0.409 0.086
Te32 Te 0.626 0.717 0.540
Te33 Te 0.677 0.086 0.960
Te34 Te 0.677 0.091 0.717
Te35 Te 0.717 0.540 0.626
Te36 Te 0.717 0.677 0.091
Te37 Te 0.783 0.409 0.823
Te38 Te 0.783 0.874 0.960
Te39 Te 0.823 0.540 0.414
Te40 Te 0.823 0.783 0.409
Te41 Te 0.874 0.414 0.091
Te42 Te 0.874 0.960 0.783
Te43 Te 0.909 0.126 0.586
Te44 Te 0.909 0.283 0.323
Te45 Te 0.914 0.040 0.323
Te46 Te 0.914 0.374 0.591
Te47 Te 0.960 0.677 0.086
Te48 Te 0.960 0.783 0.874
```

V, Å³ per cell: 2473
Space-group type: Ia-3d (230)
ΔE_f (raw), meV per atom: -548

***

Record 7
An optimized crystal structure of Tb4ZnTe, computed with PBE-GGA.

Geometry as CIF:
```
data_Tb4ZnTe
_chemical_formula_sum 'Tb8 Zn2 Te2'
_cell_length_a 6.122
_cell_length_b 6.458
_cell_length_c 8.391
_cell_angle_alpha 90.00
_cell_angle_beta 91.08
_cell_angle_gamma 90.00
_space_group_name_H-M_alt 'P 1'
_space_group_IT_number 1
_space_group_name_Hall 'P 1'
loop_
_atom_site_label
_atom_site_type_symbol
_atom_site_fract_x
_atom_site_fract_y
_atom_site_fract_z
Tb1 Tb 0.114 0.250 0.356
Tb2 Tb 0.153 0.750 0.062
Tb3 Tb 0.366 0.002 0.691
Tb4 Tb 0.366 0.498 0.691
Tb5 Tb 0.634 0.502 0.309
Tb6 Tb 0.634 0.998 0.309
Tb7 Tb 0.847 0.250 0.938
Tb8 Tb 0.886 0.750 0.644
Zn1 Zn 0.218 0.750 0.400
Zn2 Zn 0.782 0.250 0.600
Te1 Te 0.339 0.250 0.029
Te2 Te 0.661 0.750 0.971
```

V, Å³ per cell: 332
Space-group type: P2_1/m (11)
ΔE_f (raw), meV per atom: -504

***

Record 8
An optimized crystal structure of TbZnTe, computed with PBE-GGA.

Geometry as CIF:
```
data_TbZnTe
_chemical_formula_sum 'Tb2 Zn2 Te2'
_cell_length_a 10.497
_cell_length_b 10.497
_cell_length_c 10.497
_cell_angle_alpha 25.36
_cell_angle_beta 25.36
_cell_angle_gamma 25.36
_space_group_name_H-M_alt 'P 1'
_space_group_IT_number 1
_space_group_name_Hall 'P 1'
loop_
_atom_site_label
_atom_site_type_symbol
_atom_site_fract_x
_atom_site_fract_y
_atom_site_fract_z
Tb1 Tb 0.058 0.058 0.058
Tb2 Tb 0.942 0.942 0.942
Zn1 Zn 0.329 0.329 0.329
Zn2 Zn 0.671 0.671 0.671
Te1 Te 0.229 0.229 0.229
Te2 Te 0.771 0.771 0.771
```

V, Å³ per cell: 187
Space-group type: R-3m (166)
ΔE_f (raw), meV per atom: -825

***

Record 9
An optimized crystal structure of Tb4ZnTe2, computed with PBE-GGA.

Geometry as CIF:
```
data_Tb4ZnTe2
_chemical_formula_sum 'Tb8 Zn2 Te4'
_cell_length_a 7.721
_cell_length_b 12.000
_cell_length_c 4.516
_cell_angle_alpha 90.00
_cell_angle_beta 90.00
_cell_angle_gamma 90.00
_space_group_name_H-M_alt 'P 1'
_space_group_IT_number 1
_space_group_name_Hall 'P 1'
loop_
_atom_site_label
_atom_site_type_symbol
_atom_site_fract_x
_atom_site_fract_y
_atom_site_fract_z
Tb1 Tb 0.143 0.214 0.000
Tb2 Tb 0.208 0.942 0.500
Tb3 Tb 0.292 0.442 0.500
Tb4 Tb 0.357 0.714 0.000
Tb5 Tb 0.643 0.286 0.000
Tb6 Tb 0.708 0.558 0.500
Tb7 Tb 0.792 0.058 0.500
Tb8 Tb 0.857 0.786 0.000
Zn1 Zn 0.000 0.000 0.000
Zn2 Zn 0.500 0.500 0.000
Te1 Te 0.082 0.674 0.500
Te2 Te 0.418 0.174 0.500
Te3 Te 0.582 0.826 0.500
Te4 Te 0.918 0.326 0.500
```

V, Å³ per cell: 418
Space-group type: Pbam (55)
ΔE_f (raw), meV per atom: -781

***

Record 10
An optimized crystal structure of Tb5ZnTe4, computed with PBE-GGA.

Geometry as CIF:
```
data_Tb5ZnTe4
_chemical_formula_sum 'Tb5 Zn1 Te4'
_cell_length_a 7.523
_cell_length_b 7.523
_cell_length_c 7.523
_cell_angle_alpha 99.59
_cell_angle_beta 99.59
_cell_angle_gamma 131.82
_space_group_name_H-M_alt 'P 1'
_space_group_IT_number 1
_space_group_name_Hall 'P 1'
loop_
_atom_site_label
_atom_site_type_symbol
_atom_site_fract_x
_atom_site_fract_y
_atom_site_fract_z
Tb1 Tb 0.000 0.000 0.000
Tb2 Tb 0.219 0.596 0.817
Tb3 Tb 0.402 0.219 0.623
Tb4 Tb 0.596 0.779 0.377
Tb5 Tb 0.779 0.402 0.183
Zn1 Zn 0.500 0.500 0.000
Te1 Te 0.091 0.305 0.397
Te2 Te 0.305 0.908 0.214
Te3 Te 0.694 0.091 0.786
Te4 Te 0.908 0.694 0.603
```

V, Å³ per cell: 290
Space-group type: I4 (79)
ΔE_f (raw), meV per atom: -1139

***

Record 11
An optimized crystal structure of Tb2ZnTe4, computed with PBE-GGA.

Geometry as CIF:
```
data_Tb2ZnTe4
_chemical_formula_sum 'Tb2 Zn1 Te4'
_cell_length_a 7.832
_cell_length_b 7.832
_cell_length_c 7.832
_cell_angle_alpha 128.09
_cell_angle_beta 128.09
_cell_angle_gamma 76.48
_space_group_name_H-M_alt 'P 1'
_space_group_IT_number 1
_space_group_name_Hall 'P 1'
loop_
_atom_site_label
_atom_site_type_symbol
_atom_site_fract_x
_atom_site_fract_y
_atom_site_fract_z
Tb1 Tb 0.250 0.750 0.500
Tb2 Tb 0.750 0.250 0.500
Zn1 Zn 0.000 0.000 0.000
Te1 Te 0.131 0.649 0.000
Te2 Te 0.351 0.351 0.482
Te3 Te 0.649 0.131 0.000
Te4 Te 0.869 0.869 0.518
```

V, Å³ per cell: 289
Space-group type: I-42m (121)
ΔE_f (raw), meV per atom: -870

***

Record 12
An optimized crystal structure of Tb8Zn2Te, computed with PBE-GGA.

Geometry as CIF:
```
data_Tb8Zn2Te
_chemical_formula_sum 'Tb8 Zn2 Te1'
_cell_length_a 8.052
_cell_length_b 8.052
_cell_length_c 5.636
_cell_angle_alpha 99.16
_cell_angle_beta 99.16
_cell_angle_gamma 115.52
_space_group_name_H-M_alt 'P 1'
_space_group_IT_number 1
_space_group_name_Hall 'P 1'
loop_
_atom_site_label
_atom_site_type_symbol
_atom_site_fract_x
_atom_site_fract_y
_atom_site_fract_z
Tb1 Tb 0.080 0.320 0.606
Tb2 Tb 0.239 0.761 0.000
Tb3 Tb 0.320 0.080 0.606
Tb4 Tb 0.399 0.399 0.202
Tb5 Tb 0.601 0.601 0.798
Tb6 Tb 0.680 0.920 0.394
Tb7 Tb 0.761 0.239 0.000
Tb8 Tb 0.920 0.680 0.394
Zn1 Zn 0.308 0.692 0.500
Zn2 Zn 0.692 0.308 0.500
Te1 Te 0.000 0.000 0.000
```

V, Å³ per cell: 315
Space-group type: C2/m (12)
ΔE_f (raw), meV per atom: -198